Entry 1:
Entry from Alexandria: an optimized crystal structure of Cr2NiPbO8 (PBE+U).

Computed properties:
total magnetization = 2.0 μB per formula unit
density of states at the Fermi level = 0.0 states/eV/cell

Unit cell a=5.5037 b=5.5037 c=6.8442 alpha=90.00 beta=90.00 gamma=120.00
Closest atoms and distances in Å follow each position.
Positions (direct):
Cr 0.3333 0.6667 0.2643  4 O 1.64-1.68
Cr 0.6667 0.3333 0.7357  4 O 1.64-1.68
Ni 0.0000 0.0000 0.0000  6 O 2.05
Pb 0.0000 0.0000 0.5000  6 O 2.65
O 0.1645 0.3316 0.1901  1 Cr 1.68
O 0.1671 0.8355 0.1901  1 Cr 1.68
O 0.3316 0.1671 0.8099  1 Cr 1.68
O 0.3333 0.6667 0.5038  1 Cr 1.64
O 0.6667 0.3333 0.4962  1 Cr 1.64
O 0.6684 0.8329 0.1901  1 Cr 1.68
O 0.8329 0.1645 0.8099  1 Cr 1.68
O 0.8355 0.6684 0.8099  1 Cr 1.68

---

Entry 2:
Entry from Alexandria: an optimized crystal structure of PmCr2NiO8 (PBE+U).

Computed properties:
total magnetization = 1.0 μB per formula unit
density of states at the Fermi level = 0.0 states/eV/cell

Unit cell a=5.9331 b=5.9331 c=5.9331 alpha=106.72 beta=106.72 gamma=115.13
Closest atoms and distances in Å follow each position.
Positions (direct):
Pm 0.0000 0.0000 0.0000  8 O 2.32-2.49
Cr 0.2500 0.7500 0.5000  4 O 1.65
Cr 0.5000 0.5000 0.0000  4 O 1.75
Ni 0.7500 0.2500 0.5000  4 O 2.23
O 0.0899 0.4067 0.3168  1 Cr 1.65
O 0.0899 0.7731 0.6832  1 Cr 1.65
O 0.1357 0.3281 0.8075  1 Cr 1.75
O 0.2269 0.9101 0.3168  1 Cr 1.65
O 0.5206 0.3281 0.1925  1 Cr 1.75
O 0.5933 0.9101 0.6832  1 Cr 1.65
O 0.6719 0.4794 0.8075  1 Cr 1.75
O 0.6719 0.8643 0.1925  1 Cr 1.75

---

Entry 3:
Entry from Alexandria: an optimized crystal structure of SrPr3CrNiO8 (PBE+U).

Computed properties:
total magnetization = 5.0 μB per formula unit
density of states at the Fermi level = 0.0 states/eV/cell

Unit cell a=5.5114 b=6.8093 c=6.8093 alpha=47.69 beta=90.00 gamma=90.00
Closest atoms and distances in Å follow each position.
Positions (direct):
Sr 0.0000 0.0000 0.0000  5 O 2.42-2.69
Pr 0.0000 0.2785 0.2785  5 O 2.39-2.57
Pr 0.5000 0.5065 0.5065  1 O 2.31
Pr 0.5000 0.7817 0.7817  5 O 2.30-2.55
Cr 0.0000 0.6418 0.6418  6 O 1.94-2.14
Ni 0.5000 0.1395 0.1395  5 O 1.96-2.15
O 0.0000 0.4703 0.4703  1 Cr 2.14, 1 Pr 2.39
O 0.0000 0.8061 0.8061  1 Cr 2.05
O 0.2524 0.4010 0.8924  1 Cr 1.94, 1 Ni 1.96
O 0.2524 0.8924 0.4010  1 Cr 1.94, 1 Ni 1.96
O 0.5000 0.3212 0.3212  1 Ni 2.26, 1 Pr 2.31
O 0.5000 0.9667 0.9667  1 Ni 2.15, 1 Pr 2.30
O 0.7476 0.4010 0.8924  1 Cr 1.94, 1 Ni 1.96
O 0.7476 0.8924 0.4010  1 Cr 1.94, 1 Ni 1.96

---

Entry 4:
Entry from Alexandria: an optimized crystal structure of PuCrNi2O6 (PBE+U).

Computed properties:
total magnetization = 6.0 μB per formula unit
density of states at the Fermi level = 6.6 states/eV/cell

Unit cell a=5.7579 b=5.7579 c=4.1247 alpha=90.00 beta=90.00 gamma=90.00
Closest atoms and distances in Å follow each position.
Positions (direct):
Pu 0.0000 0.0000 0.0000  6 O 2.04-2.20
Cr 0.5000 0.5000 0.9190  1 O 1.62
Ni 0.0000 0.5000 0.0580  4 O 2.05
Ni 0.5000 0.0000 0.0580  4 O 2.05
O 0.0000 0.0000 0.5046  2 Pu 2.04-2.08
O 0.2695 0.2695 0.0228  1 Cr 1.93, 2 Ni 2.05
O 0.2695 0.7305 0.0228  1 Cr 1.93, 2 Ni 2.05
O 0.5000 0.5000 0.5251  1 Cr 1.62
O 0.7305 0.2695 0.0228  1 Cr 1.93, 2 Ni 2.05
O 0.7305 0.7305 0.0228  1 Cr 1.93, 2 Ni 2.05

---

Entry 5:
Entry from Alexandria: an optimized crystal structure of RbCrNiO4 (PBE+U).

Computed properties:
total magnetization = 1.0 μB per formula unit

Unit cell a=5.0367 b=5.8010 c=7.9154 alpha=90.00 beta=104.32 gamma=90.00
Closest atoms and distances in Å follow each position.
Positions (direct):
Rb 0.2016 0.2500 0.1295  7 O 3.03-3.13
Rb 0.7984 0.7500 0.8705  7 O 3.03-3.13
Cr 0.3845 0.2500 0.6993  4 O 1.66-1.79
Cr 0.6155 0.7500 0.3007  4 O 1.66-1.79
Ni 0.1188 0.7500 0.5095  5 O 1.96-2.13
Ni 0.8812 0.2500 0.4905  5 O 1.96-2.13
O 0.1366 0.0224 0.6722  1 Cr 1.79
O 0.1366 0.4776 0.6722  1 Cr 1.79
O 0.3985 0.7500 0.1045  1 Cr 1.66
O 0.4950 0.7500 0.4823  1 Cr 1.69
O 0.5050 0.2500 0.5177  1 Cr 1.69
O 0.6015 0.2500 0.8955  1 Cr 1.66
O 0.8634 0.5224 0.3278  1 Cr 1.79
O 0.8634 0.9776 0.3278  1 Cr 1.79

---

Entry 6:
Entry from Alexandria: an optimized crystal structure of RbCr2NiO8 (PBE+U).

Computed properties:
total magnetization = 1.0 μB per formula unit
density of states at the Fermi level = 6.7 states/eV/cell

Unit cell a=5.3239 b=5.3239 c=7.9852 alpha=90.00 beta=90.00 gamma=120.00
Closest atoms and distances in Å follow each position.
Positions (direct):
Rb 0.0000 0.0000 0.0000  12 O 3.14-3.22
Cr 0.3333 0.6667 0.7144  4 O 1.64-1.67
Cr 0.6667 0.3333 0.2856  4 O 1.64-1.67
Ni 0.0000 0.0000 0.5000  6 O 2.01
O 0.0820 0.3350 0.6511  1 Cr 1.67
O 0.2530 0.9180 0.6511  1 Cr 1.67
O 0.3333 0.6667 0.9199  1 Cr 1.64
O 0.3350 0.2530 0.3489  1 Cr 1.67
O 0.6650 0.7470 0.6511  1 Cr 1.67
O 0.6667 0.3333 0.0801  1 Cr 1.64
O 0.7470 0.0820 0.3489  1 Cr 1.67
O 0.9180 0.6650 0.3489  1 Cr 1.67

---

Entry 7:
Entry from Alexandria: an optimized crystal structure of CrNiRhO6 (PBE+U).

Computed properties:
total magnetization = 2.8 μB per formula unit
density of states at the Fermi level = 11.5 states/eV/cell

Unit cell a=5.0319 b=5.0319 c=8.6555 alpha=90.00 beta=90.00 gamma=120.00
Closest atoms and distances in Å follow each position.
Positions (direct):
Cr 0.3333 0.6667 0.2500  6 O 1.93
Cr 0.6667 0.3333 0.7500  6 O 1.93
Ni 0.0000 0.0000 0.0000  6 O 2.07
Ni 0.0000 0.0000 0.5000  6 O 2.07
Rh 0.3333 0.6667 0.7500  6 O 1.97
Rh 0.6667 0.3333 0.2500  6 O 1.97
O 0.0070 0.3489 0.1297  1 Cr 1.93, 1 Rh 1.97, 1 Ni 2.07
O 0.0070 0.6581 0.3703  1 Cr 1.93, 1 Rh 1.97, 1 Ni 2.07
O 0.3419 0.3489 0.3703  1 Cr 1.93, 1 Rh 1.97, 1 Ni 2.07
O 0.3419 0.9930 0.1297  1 Cr 1.93, 1 Rh 1.97, 1 Ni 2.07
O 0.3489 0.0070 0.6297  1 Cr 1.93, 1 Rh 1.97, 1 Ni 2.07
O 0.3489 0.3419 0.8703  1 Cr 1.93, 1 Rh 1.97, 1 Ni 2.07
O 0.6511 0.6581 0.1297  1 Cr 1.93, 1 Rh 1.97, 1 Ni 2.07
O 0.6511 0.9930 0.3703  1 Cr 1.93, 1 Rh 1.97, 1 Ni 2.07
O 0.6581 0.0070 0.8703  1 Cr 1.93, 1 Rh 1.97, 1 Ni 2.07
O 0.6581 0.6511 0.6297  1 Cr 1.93, 1 Rh 1.97, 1 Ni 2.07
O 0.9930 0.3419 0.6297  1 Cr 1.93, 1 Rh 1.97, 1 Ni 2.07
O 0.9930 0.6511 0.8703  1 Cr 1.93, 1 Rh 1.97, 1 Ni 2.07

---

Entry 8:
Entry from Alexandria: an optimized crystal structure of CrNi2RuO6 (PBE+U).

Computed properties:
total magnetization = 2.0 μB per formula unit
density of states at the Fermi level = 6.6 states/eV/cell

Unit cell a=5.7076 b=5.7076 c=3.7338 alpha=90.00 beta=90.00 gamma=90.00
Closest atoms and distances in Å follow each position.
Positions (direct):
Cr 0.0000 0.0000 0.0000  6 O 1.81-2.01
Ni 0.0000 0.5000 0.1411  4 O 2.05
Ni 0.5000 0.0000 0.1411  4 O 2.05
Ru 0.5000 0.5000 0.0075  6 O 1.84-2.04
O 0.0000 0.0000 0.5156  2 Cr 1.81-1.93
O 0.2477 0.2477 0.0493  1 Cr 2.01, 1 Ru 2.04, 2 Ni 2.05
O 0.2477 0.7523 0.0493  1 Cr 2.01, 1 Ru 2.04, 2 Ni 2.05
O 0.5000 0.5000 0.5150  2 Ru 1.84-1.89
O 0.7523 0.2477 0.0493  1 Cr 2.01, 1 Ru 2.04, 2 Ni 2.05
O 0.7523 0.7523 0.0493  1 Cr 2.01, 1 Ru 2.04, 2 Ni 2.05

---

Entry 9:
Entry from Alexandria: an optimized crystal structure of Cr2NiRuO (PBE+U).

Computed properties:
total magnetization = 5.7 μB per formula unit
density of states at the Fermi level = 3.7 states/eV/cell

Unit cell a=4.8020 b=4.8020 c=4.4385 alpha=90.00 beta=90.00 gamma=90.00
Closest atoms and distances in Å follow each position.
Positions (direct):
Cr 0.0000 0.5000 0.0000  2 Ru 2.40
Cr 0.5000 0.0000 0.0000  2 Ru 2.40
Ni 0.0000 0.0000 0.5000  2 Ru 2.22
Ru 0.0000 0.0000 0.0000  2 Ni 2.22, 4 Cr 2.40
O 0.5000 0.5000 0.5000  8 Cr 3.27, 4 Ni 3.40

---

Entry 10:
Entry from Alexandria: an optimized crystal structure of Cr2NiSbO (PBE+U).

Computed properties:
total magnetization = 7.0 μB per formula unit
density of states at the Fermi level = 3.0 states/eV/cell

Unit cell a=5.2762 b=5.2762 c=4.6734 alpha=90.00 beta=90.00 gamma=90.00
Closest atoms and distances in Å follow each position.
Positions (direct):
Cr 0.0000 0.5000 0.0000  2 Sb 2.64
Cr 0.5000 0.0000 0.0000  2 Sb 2.64
Ni 0.0000 0.0000 0.5000  2 Sb 2.34
Sb 0.0000 0.0000 0.0000  2 Ni 2.34
O 0.5000 0.5000 0.5000  8 Cr 3.52, 4 Ni 3.73

---

Entry 11:
Entry from Alexandria: an optimized crystal structure of Cr2NiSbO6 (PBE+U).

Computed properties:
total magnetization = 9.0 μB per formula unit

Unit cell a=5.1731 b=5.2436 c=5.5381 alpha=63.42 beta=89.50 gamma=61.06
Closest atoms and distances in Å follow each position.
Positions (direct):
Cr 0.0000 0.0000 0.0000  5 O 2.06-2.25
Cr 0.4860 0.0262 0.4656  6 O 2.00-2.06
Ni 0.2786 0.4422 0.8595  5 O 2.03-2.18
Sb 0.7951 0.4099 0.3953  6 O 1.98-2.08
O 0.0876 0.2290 0.1886  1 Sb 2.01, 2 Cr 2.05-2.10, 1 Ni 2.18
O 0.1888 0.2204 0.6739  1 Ni 2.06, 2 Cr 2.06-2.18, 1 Sb 2.06
O 0.4304 0.4806 0.1933  1 Sb 1.98, 1 Cr 2.04, 1 Ni 2.14
O 0.5651 0.5585 0.6523  1 Cr 2.00, 1 Ni 2.03, 1 Sb 2.03
O 0.6999 0.8849 0.1975  1 Sb 2.01, 2 Cr 2.03-2.06
O 0.8750 0.9335 0.6719  2 Cr 2.05-2.16, 1 Sb 2.08, 1 Ni 2.12

---

| no. | final energy (eV for the cell shown) |
| --- | --- |
| 1 | -75.39 |
| 2 | -81.22 |
| 3 | -103.19 |
| 4 | -70.63 |
| 5 | -80.60 |
| 6 | -72.54 |
| 7 | -110.18 |
| 8 | -59.89 |
| 9 | -23.68 |
| 10 | -20.49 |
| 11 | -66.71 |